Record 1
Material: WAu2Br2
Method: DFT, PBE-GGA
State: optimized geometry

Results
ΔE_f (raw): 0.88 eV/atom
Density: 9.3 Mg/m³

Unit cell a=10.705 b=10.705 c=10.705 alpha=160.83 beta=160.83 gamma=27.24
Atoms (fractional coordinates):
W 0.000 0.000 0.000
Au 0.250 0.750 0.500
Au 0.750 0.250 0.500
Br 0.426 0.426 0.000
Br 0.574 0.574 0.000


Record 2
Material: LiAlHg
Method: DFT, PBE-GGA
State: optimized geometry

Results
Density: 6.7 Mg/m³
Formation energy from the elements: -0.08 eV/f.u.

Unit cell a=3.108 b=3.108 c=6.933 alpha=90.00 beta=90.00 gamma=120.00
Atoms (fractional coordinates):
Li 0.000 0.000 0.000
Al 0.667 0.333 0.324
Hg 0.333 0.667 0.675


Record 3
Material: V2TcSe
Method: DFT, PBE-GGA
State: optimized geometry

Results
ΔE_f (raw): 0.32 eV/atom
Density: 7.5 Mg/m³

Unit cell a=5.482 b=5.482 c=5.482 alpha=104.54 beta=104.54 gamma=119.86
Atoms (fractional coordinates):
V 0.122 0.625 0.997
V 0.375 0.372 0.497
V 0.628 0.125 0.003
V 0.875 0.878 0.503
Tc 0.250 0.750 0.500
Tc 0.500 0.500 0.000
Se 0.000 0.000 0.000
Se 0.750 0.250 0.500


Record 4
Material: LaPu2Al
Method: DFT, PBE-GGA
State: optimized geometry

Results
Density: 10.4 Mg/m³
Formation energy from the elements: -0.19 eV/f.u.

Unit cell a=4.595 b=4.595 c=4.960 alpha=90.00 beta=90.00 gamma=90.00
Atoms (fractional coordinates):
La 0.000 0.000 0.000
Pu 0.000 0.500 0.500
Pu 0.500 0.000 0.500
Al 0.500 0.500 0.000


Record 5
Material: CdSi2O4
Method: DFT, PBE-GGA
State: optimized geometry

Results
ΔE_f (raw): -2.09 eV/atom
Density: 2.5 Mg/m³

Unit cell a=9.875 b=9.875 c=9.875 alpha=156.59 beta=156.59 gamma=33.34
Atoms (fractional coordinates):
Cd 0.000 0.000 0.000
Si 0.250 0.750 0.500
Si 0.750 0.250 0.500
O 0.045 0.045 0.500
O 0.454 0.955 0.000
O 0.546 0.546 0.500
O 0.955 0.454 0.000


Record 6
Material: MgGaPt
Method: DFT, PBE-GGA
State: optimized geometry

Results
Density: 8.3 Mg/m³
Formation energy from the elements: -1.95 eV/f.u.

Unit cell a=4.406 b=5.067 c=5.485 alpha=70.51 beta=89.98 gamma=89.93
Atoms (fractional coordinates):
Mg 0.249 0.147 0.102
Mg 0.751 0.853 0.898
Ga 0.250 0.622 0.588
Ga 0.750 0.378 0.412
Pt 0.250 0.112 0.625
Pt 0.750 0.888 0.375


Record 7
Material: TbP2Pt7
Method: DFT, PBE-GGA
State: optimized geometry

Results
Density: 16.0 Mg/m³
Formation energy from the elements: -6.51 eV/f.u.

Unit cell a=10.541 b=10.541 c=10.541 alpha=157.95 beta=157.95 gamma=31.38
Atoms (fractional coordinates):
Tb 0.000 0.000 0.000
P 0.325 0.325 0.000
P 0.675 0.675 0.000
Pt 0.107 0.607 0.500
Pt 0.250 0.750 0.500
Pt 0.393 0.893 0.500
Pt 0.500 0.500 0.000
Pt 0.607 0.107 0.500
Pt 0.750 0.250 0.500
Pt 0.893 0.393 0.500


Record 8
Material: Pm2NdSiN4
Method: DFT, PBE-GGA
State: optimized geometry

Results
ΔE_f (raw): -1.16 eV/atom
Density: 7.1 Mg/m³

Unit cell a=6.111 b=6.111 c=11.980 alpha=90.00 beta=90.00 gamma=147.07
Atoms (fractional coordinates):
Pm 0.132 0.868 0.543
Pm 0.132 0.868 0.957
Pm 0.868 0.132 0.043
Pm 0.868 0.132 0.457
Nd 0.409 0.591 0.750
Nd 0.591 0.409 0.250
Si 0.320 0.680 0.250
Si 0.680 0.320 0.750
N 0.097 0.903 0.750
N 0.228 0.772 0.136
N 0.228 0.772 0.364
N 0.500 0.500 0.000
N 0.500 0.500 0.500
N 0.772 0.228 0.636
N 0.772 0.228 0.864
N 0.903 0.097 0.250